Computed, not measured: an optimized crystal structure of SrNiSO2 at the PBE with a Hubbard U level of DFT.

DFT total energy in eV per cell: -16.8
Size of the total moment in μB/f.u.: 4.0
Calculated volume in Å³ per cell: 140
Fermi-level density of states in states/eV per atom: 0.378

a = 4.4254 Å, b = 7.1442 Å, c = 4.4254 Å
α = 90.00°, β = 90.00°, γ = 90.00°
Last column: magnetic moment on the atom in μB.
Element x y z (fractional)
Sr1 0.0000 0.0000 0.0000  0.05
S1 0.5000 0.5000 0.5000  0.53
O1 0.0000 0.0000 0.5000  1.03
O2 0.5000 0.0000 0.0000  0.62
Ni1 0.0000 0.5000 0.0000  1.02